Li2Fe3O4 | GGA+U | optimized geometry

Properties
**Total DFT energy (no corrections)**: -5.804 eV per atom
**Crystal system**: orthorhombic
**Size of the total moment**: 11.95 μB per formula unit
**Calculated density**: 4.60 Mg/m³

Unit cell a=6.332 b=6.477 c=8.637 alpha=90.00 beta=90.00 gamma=90.00
Space group Imma (No. 74)
Inequivalent atoms, fractional coordinates:
Li 0.000 0.000 0.000
Li 0.000 0.250 0.090
Fe 0.000 0.000 0.500
Fe 0.250 0.250 0.250
Fe 0.250 0.250 0.750
O 0.000 0.021 0.238
O 0.243 0.250 0.509